This record from the Alexandria database describes a relaxed U3TeH3 crystal. The functional is PBE-GGA.

Summary:
**Final energy**: -6.8202 eV/atom
**Size of the total moment**: 15.99 Bohr magnetons per cell
**Fermi-level density of states**: 13.0 states/eV/f.u.

Unit cell a=6.0592 b=6.0592 c=6.0592 alpha=90.00 beta=90.00 gamma=90.00
Closest atoms and distances in Å follow each position.
Fractional coordinates of all 14 atoms:
H: 0.2500 0.0000 0.5000  4 U 2.14
H: 0.0000 0.5000 0.2500  4 U 2.14
H: 0.5000 0.7500 0.0000  4 U 2.14
H: 0.7500 0.0000 0.5000  4 U 2.14
H: 0.0000 0.5000 0.7500  4 U 2.14
H: 0.5000 0.2500 0.0000  4 U 2.14
Te: 0.5000 0.5000 0.5000  12 H 3.39, 12 U 3.39
Te: 0.0000 0.0000 0.0000  12 H 3.39, 12 U 3.39
U: 0.0000 0.2500 0.5000  4 H 2.14
U: 0.0000 0.7500 0.5000  4 H 2.14
U: 0.5000 0.0000 0.7500  4 H 2.14
U: 0.7500 0.5000 0.0000  4 H 2.14
U: 0.5000 0.0000 0.2500  4 H 2.14
U: 0.2500 0.5000 0.0000  4 H 2.14